A plane-wave DFT calculation with SCAN was carried out for K3Ni2F7 at its PBEsol-relaxed geometry.

Output
V   13.9 A^3/atom
E_form (uncorrected)   -2.7031 eV per atom
E_tot   -9.546 eV/atom
Density of states at the Fermi level   0.00 states/eV/cell
Total magnetic moment   3.9 μB/cell

Lattice parameters (Å, degrees): 10.8113 10.8113 10.8113 158.72 158.72 30.27
Closest atoms and distances in Å follow each position.
Fractional coordinates of all 12 atoms:
K (0.0000, 0.0000, 0.0000)  12 F 2.81-2.82
K (0.1841, 0.1841, 0.0000)  9 F 2.60-2.83
K (0.8159, 0.8159, 0.0000)  9 F 2.60-2.83
Ni (0.4033, 0.4033, 0.0000)  6 F 1.98-2.02
Ni (0.5967, 0.5967, 0.0000)  6 F 1.98-2.02
F (0.0951, 0.5951, 0.5000)  2 Ni 2.00
F (0.3086, 0.3086, 0.0000)  1 Ni 1.98
F (0.4049, 0.9049, 0.5000)  2 Ni 2.00
F (0.5000, 0.5000, 0.0000)  2 Ni 2.02
F (0.5951, 0.0951, 0.5000)  2 Ni 2.00
F (0.6914, 0.6914, 0.0000)  1 Ni 1.98
F (0.9049, 0.4049, 0.5000)  2 Ni 2.00


A plane-wave DFT calculation with SCAN was carried out for K3NiF6 at its PBEsol-relaxed geometry.

Output
V   15.8 A^3/atom
E_form (uncorrected)   -2.6230 eV per atom
E_tot   -8.863 eV/atom
Density of states at the Fermi level   6.08 states/eV/cell
Total magnetic moment   1.0 μB/cell

Lattice parameters (Å, degrees): 6.0726 6.0726 6.0726 60.00 60.00 60.00
Closest atoms and distances in Å follow each position.
Fractional coordinates of all 10 atoms:
K (0.0000, 0.0000, 0.0000)  6 F 2.43
K (0.2500, 0.2500, 0.2500)  12 F 3.05
K (0.7500, 0.7500, 0.7500)  12 F 3.05
Ni (0.5000, 0.5000, 0.5000)  6 F 1.87
F (0.2827, 0.2827, 0.7173)  1 Ni 1.87
F (0.2827, 0.7173, 0.2827)  1 Ni 1.87
F (0.2827, 0.7173, 0.7173)  1 Ni 1.87
F (0.7173, 0.2827, 0.2827)  1 Ni 1.87
F (0.7173, 0.2827, 0.7173)  1 Ni 1.87
F (0.7173, 0.7173, 0.2827)  1 Ni 1.87


A plane-wave DFT calculation with SCAN was carried out for KNiRuF2 at its PBEsol-relaxed geometry.

Output
V   21.2 A^3/atom
E_form (uncorrected)   -0.0316 eV per atom
E_tot   -13.313 eV/atom
Density of states at the Fermi level   4.16 states/eV/cell
Total magnetic moment   3.0 μB/cell

Lattice parameters (Å, degrees): 4.0171 4.0171 6.5746 90.00 90.00 90.00
Closest atoms and distances in Å follow each position.
Fractional coordinates of all 5 atoms:
K (0.0000, 0.0000, 0.0000)  4 Ni 2.84
Ni (0.5000, 0.5000, 0.0000)  4 K 2.84
Ru (0.0000, 0.0000, 0.5000)  4 F 2.01
F (0.0000, 0.5000, 0.5000)  2 Ru 2.01
F (0.5000, 0.0000, 0.5000)  2 Ru 2.01


A plane-wave DFT calculation with SCAN was carried out for KOsO2F at its PBEsol-relaxed geometry.

Output
V   13.6 A^3/atom
E_form (uncorrected)   -1.4650 eV per atom
E_tot   -20.707 eV/atom
Density of states at the Fermi level   2.67 states/eV/cell
Total magnetic moment   0.0 μB/cell

Lattice parameters (Å, degrees): 3.7754 3.7754 4.7771 90.00 90.00 90.00
Closest atoms and distances in Å follow each position.
Fractional coordinates of all 5 atoms:
K (0.0000, 0.0000, 0.0000)  4 F 2.67
Os (0.5000, 0.5000, 0.5000)  4 O 1.89
O (0.0000, 0.5000, 0.5000)  2 Os 1.89
O (0.5000, 0.0000, 0.5000)  2 Os 1.89
F (0.5000, 0.5000, 0.0000)  2 Os 2.39, 4 K 2.67


A plane-wave DFT calculation with SCAN was carried out for K2PO3F at its PBEsol-relaxed geometry.

Output
V   16.2 A^3/atom
E_form (uncorrected)   -2.6437 eV per atom
E_tot   -9.685 eV/atom
Density of states at the Fermi level   0.00 states/eV/cell
Total magnetic moment   0.0 μB/cell

Lattice parameters (Å, degrees): 7.5824 5.9368 10.0460 90.00 90.00 90.00
Closest atoms and distances in Å follow each position.
Fractional coordinates of all 28 atoms:
K (0.0133, 0.2500, 0.2215)  5 O 2.65-2.74, 1 F 2.75
K (0.1755, 0.2500, 0.5712)  1 F 2.66, 3 O 2.88-2.97
K (0.3245, 0.7500, 0.0712)  1 F 2.66, 3 O 2.88-2.97
K (0.4867, 0.7500, 0.7215)  5 O 2.65-2.74, 1 F 2.75
K (0.5133, 0.2500, 0.2785)  5 O 2.65-2.74, 1 F 2.75
K (0.6755, 0.2500, 0.9288)  1 F 2.66, 3 O 2.88-2.97
K (0.8245, 0.7500, 0.4288)  1 F 2.66, 3 O 2.88-2.97
K (0.9867, 0.7500, 0.7785)  5 O 2.65-2.74, 1 F 2.75
P (0.2374, 0.2500, 0.9093)  3 O 1.52, 1 F 1.66
P (0.2626, 0.7500, 0.4093)  3 O 1.52, 1 F 1.66
P (0.7374, 0.2500, 0.5907)  3 O 1.52, 1 F 1.66
P (0.7626, 0.7500, 0.0907)  3 O 1.52, 1 F 1.66
O (0.1726, 0.7500, 0.5446)  1 P 1.52
O (0.2417, 0.5342, 0.3301)  1 P 1.52
O (0.2417, 0.9658, 0.3301)  1 P 1.52
O (0.2583, 0.0342, 0.8301)  1 P 1.52
O (0.2583, 0.4658, 0.8301)  1 P 1.52
O (0.3274, 0.2500, 0.0446)  1 P 1.52
O (0.6726, 0.7500, 0.9554)  1 P 1.52
O (0.7417, 0.5342, 0.1699)  1 P 1.52
O (0.7417, 0.9658, 0.1699)  1 P 1.52
O (0.7583, 0.0342, 0.6699)  1 P 1.52
O (0.7583, 0.4658, 0.6699)  1 P 1.52
O (0.8274, 0.2500, 0.4554)  1 P 1.52
F (0.0248, 0.2500, 0.9478)  1 P 1.66
F (0.4752, 0.7500, 0.4478)  1 P 1.66
F (0.5248, 0.2500, 0.5522)  1 P 1.66
F (0.9752, 0.7500, 0.0522)  1 P 1.66


A plane-wave DFT calculation with SCAN was carried out for KPO2F2 at its PBEsol-relaxed geometry.

Output
V   15.6 A^3/atom
E_form (uncorrected)   -2.7058 eV per atom
E_tot   -9.084 eV/atom
Density of states at the Fermi level   0.00 states/eV/cell
Total magnetic moment   0.0 μB/cell

Lattice parameters (Å, degrees): 7.9677 6.1432 7.6547 90.00 90.00 90.00
Closest atoms and distances in Å follow each position.
Fractional coordinates of all 24 atoms:
K (0.1505, 0.2500, 0.1423)  4 O 2.71-2.90, 1 F 2.78
K (0.3495, 0.7500, 0.6423)  4 O 2.71-2.90, 1 F 2.78
K (0.6505, 0.2500, 0.3577)  4 O 2.71-2.90, 1 F 2.78
K (0.8495, 0.7500, 0.8577)  4 O 2.71-2.90, 1 F 2.78
P (0.0922, 0.2500, 0.6952)  2 O 1.48, 2 F 1.59
P (0.4078, 0.7500, 0.1952)  2 O 1.48, 2 F 1.59
P (0.5922, 0.2500, 0.8048)  2 O 1.48, 2 F 1.59
P (0.9078, 0.7500, 0.3048)  2 O 1.48, 2 F 1.59
O (0.0976, 0.0377, 0.7878)  1 P 1.48
O (0.0976, 0.4623, 0.7878)  1 P 1.48
O (0.4024, 0.5377, 0.2878)  1 P 1.48
O (0.4024, 0.9623, 0.2878)  1 P 1.48
O (0.5976, 0.0377, 0.7122)  1 P 1.48
O (0.5976, 0.4623, 0.7122)  1 P 1.48
O (0.9024, 0.5377, 0.2122)  1 P 1.48
O (0.9024, 0.9623, 0.2122)  1 P 1.48
F (0.0633, 0.7500, 0.4349)  1 P 1.59
F (0.2338, 0.2500, 0.5493)  1 P 1.59
F (0.2662, 0.7500, 0.0493)  1 P 1.59
F (0.4367, 0.2500, 0.9349)  1 P 1.59
F (0.5633, 0.7500, 0.0651)  1 P 1.59
F (0.7338, 0.2500, 0.9507)  1 P 1.59
F (0.7662, 0.7500, 0.4507)  1 P 1.59
F (0.9367, 0.2500, 0.5651)  1 P 1.59


A plane-wave DFT calculation with SCAN was carried out for K3V2P2O8F3 at its PBEsol-relaxed geometry.

Output
V   13.2 A^3/atom
E_form (uncorrected)   -2.7813 eV per atom
E_tot   -10.627 eV/atom
Total magnetic moment   8.0 μB/cell

Lattice parameters (Å, degrees): 7.3133 7.3133 9.1482 90.00 90.00 76.84
Closest atoms and distances in Å follow each position.
Fractional coordinates of all 36 atoms:
K (0.0290, 0.9710, 0.5000)  4 O 2.63, 3 F 2.66-2.67
K (0.3135, 0.6865, 0.7034)  2 O 2.59, 3 F 2.61-2.75
K (0.3148, 0.6852, 0.2975)  2 O 2.59, 3 F 2.61-2.76
K (0.6852, 0.3148, 0.7975)  2 O 2.59, 3 F 2.61-2.76
K (0.6865, 0.3135, 0.2034)  2 O 2.59, 3 F 2.61-2.75
K (0.9710, 0.0290, 0.0000)  4 O 2.63, 3 F 2.66-2.67
V (0.0767, 0.5632, 0.0002)  2 F 1.93-2.06, 4 O 1.96-2.03
V (0.4368, 0.9233, 0.0002)  2 F 1.93-2.06, 4 O 1.96-2.03
V (0.5632, 0.0767, 0.5002)  2 F 1.93-2.06, 4 O 1.96-2.03
V (0.9233, 0.4368, 0.5002)  2 F 1.93-2.06, 4 O 1.96-2.03
P (0.2401, 0.2401, 0.2502)  4 O 1.55
P (0.2401, 0.2401, 0.7502)  4 O 1.55
P (0.7599, 0.7599, 0.2502)  4 O 1.55
P (0.7599, 0.7599, 0.7502)  4 O 1.55
O (0.0576, 0.2634, 0.3416)  1 P 1.55
O (0.0575, 0.2634, 0.6588)  1 P 1.55
O (0.2326, 0.4118, 0.1501)  1 P 1.55
O (0.2327, 0.4119, 0.8503)  1 P 1.55
O (0.2634, 0.0575, 0.1588)  1 P 1.55
O (0.2634, 0.0576, 0.8416)  1 P 1.55
O (0.4119, 0.2327, 0.3503)  1 P 1.55
O (0.4118, 0.2326, 0.6501)  1 P 1.55
O (0.5882, 0.7674, 0.1501)  1 P 1.55
O (0.5881, 0.7673, 0.8503)  1 P 1.55
O (0.7366, 0.9424, 0.3416)  1 P 1.55
O (0.7366, 0.9425, 0.6588)  1 P 1.55
O (0.7673, 0.5881, 0.3503)  1 P 1.55
O (0.7674, 0.5882, 0.6501)  1 P 1.55
O (0.9425, 0.7366, 0.1588)  1 P 1.55
O (0.9424, 0.7366, 0.8416)  1 P 1.55
F (0.0987, 0.5979, 0.5002)  1 V 1.93
F (0.2644, 0.7356, 0.0002)  2 V 2.06
F (0.4021, 0.9013, 0.5002)  1 V 1.93
F (0.5979, 0.0987, 0.0002)  1 V 1.93
F (0.7356, 0.2644, 0.5002)  2 V 2.06
F (0.9013, 0.4021, 0.0002)  1 V 1.93


A plane-wave DFT calculation with SCAN was carried out for KRb2WO3F3 at its PBEsol-relaxed geometry.

Output
V   17.9 A^3/atom
E_form (uncorrected)   -2.6191 eV per atom
E_tot   -17.500 eV/atom
Density of states at the Fermi level   0.00 states/eV/cell
Total magnetic moment   0.0 μB/cell

Lattice parameters (Å, degrees): 6.3756 6.3237 6.2712 60.82 60.00 59.18
Closest atoms and distances in Å follow each position.
Fractional coordinates of all 10 atoms:
K (0.0000, 0.0000, 0.0000)  3 F 2.50-2.51, 3 O 2.61-2.64
Rb (0.2629, 0.2629, 0.2371)  4 O 2.97-3.17, 6 F 3.07-3.28
Rb (0.7629, 0.7629, 0.7371)  4 O 2.97-3.17, 6 F 3.07-3.28
W (0.5134, 0.5134, 0.4866)  3 O 1.78-1.83, 2 F 1.98
O (0.2697, 0.6787, 0.7303)  1 W 1.83
O (0.6787, 0.2697, 0.3213)  1 W 1.83
O (0.7092, 0.7092, 0.2908)  1 W 1.78
F (0.2757, 0.2757, 0.7243)  1 W 2.16
F (0.2763, 0.7181, 0.2819)  1 W 1.98
F (0.7181, 0.2763, 0.7237)  1 W 1.98